Below is a relaxed LiPOs2 crystal, with properties calculated at the PBE level.

Output
- Calculated formation energy: 0.82 eV per formula unit
- Electronic total energy: -28.96 eV/cell
- Volume: 12.83 A^3/atom
- Magnetic moment: 0.00 μB/cell
- Space group: I-4m2

Cell: 4.614 4.614 4.614 Å, 133.17 133.17 68.39°
Positions (direct):
P1 0.500 0.500 0.000
Os1 0.250 0.750 0.500
Os2 0.000 0.000 0.000
Li1 0.750 0.250 0.500

---

Below is a relaxed LiPOs2 crystal, with properties calculated at the PBE level.

Output
- Calculated formation energy: 1.30 eV per formula unit
- Electronic total energy: -28.48 eV/cell
- Volume: 14.18 A^3/atom
- Magnetic moment: 0.00 μB/cell
- Space group: Cmm2

Cell: 2.729 2.729 8.623 Å, 90.00 90.00 117.97°
Positions (direct):
Os1 0.500 0.500 0.272
P1 0.000 0.000 0.490
Os2 0.000 0.000 0.000
Li1 0.500 0.500 0.738

---

Below is a relaxed LiPOs2 crystal, with properties calculated at the PBE level.

Output
- Calculated formation energy: 0.41 eV per formula unit
- Electronic total energy: -29.38 eV/cell
- Volume: 13.34 A^3/atom
- Magnetic moment: 0.00 μB/cell
- Space group: P2/m

Cell: 3.630 2.869 5.402 Å, 71.50 90.00 90.00°
Positions (direct):
Os1 0.000 0.365 0.485
Os2 0.000 0.135 0.015
Li1 0.500 0.750 0.750
P1 0.500 0.250 0.250

---

Below is a relaxed LiPOs2 crystal, with properties calculated at the PBE level.

Output
- Calculated formation energy: 0.28 eV per formula unit
- Electronic total energy: -29.50 eV/cell
- Volume: 14.26 A^3/atom
- Magnetic moment: 0.00 μB/cell
- Space group: R3m

Cell: 8.509 8.509 8.509 Å, 18.99 18.99 18.99°
Positions (direct):
Os1 0.997 0.997 0.997
Li1 0.753 0.753 0.753
Os2 0.242 0.242 0.242
P1 0.507 0.507 0.507